Computed, not measured: Tb3Dy2Hg7 after structural relaxation at the PBE level of DFT.

CIF file:
```
data_Tb3Dy2Hg7
_symmetry_space_group_name_H-M 'C m m m'
_symmetry_Int_Tables_number 65
_symmetry_space_group_name_Hall '-C 2 2'
_cell_length_a 5.178
_cell_length_b 22.929
_cell_length_c 5.453
_cell_angle_alpha 90.00
_cell_angle_beta 90.00
_cell_angle_gamma 90.00
loop_
_atom_site_label
_atom_site_fract_x
_atom_site_fract_y
_atom_site_fract_z
Tb1 0.000 0.000 0.000
Tb2 0.000 0.167 0.000
Dy1 0.000 0.356 0.500
Hg1 0.000 0.075 0.500
Hg2 0.000 0.222 0.500
Hg3 0.000 0.416 0.000
Hg4 0.000 0.500 0.500
```

Values from the calculation:
Energy relative to the elements   -0.311 eV per atom